Li3MnSiBO7, optimized geometry, DFT PBE with a Hubbard U; calculated total energy = -6.7857 eV per atom; symmetry = P2_1/m (11)
1.0
5.084 0.000 0.000
0.000 6.281 0.000
-0.823 0.000 8.288
Li Mn Si B O
6 2 2 2 14
Direct
0.234 0.250 0.103
0.257 0.504 0.748
0.257 0.996 0.748
0.743 0.004 0.252
0.743 0.496 0.252
0.766 0.750 0.897
0.204 0.750 0.319
0.796 0.250 0.681
0.273 0.250 0.428
0.727 0.750 0.572
0.295 0.750 0.040
0.705 0.250 0.960
0.039 0.750 0.088
0.134 0.250 0.595
0.178 0.054 0.303
0.178 0.446 0.303
0.366 0.750 0.889
0.404 0.750 0.527
0.482 0.750 0.177
0.518 0.250 0.823
0.596 0.250 0.473
0.634 0.250 0.111
0.822 0.554 0.697
0.822 0.946 0.697
0.866 0.750 0.405
0.961 0.250 0.912